Below is an optimized crystal structure of Sr2Au3, with properties calculated at the PBE-GGA level.

Cell lengths 8.4753, 8.4753, 4.0982 Å; angles 90.00, 90.00, 90.00 degrees
With the nearest neighbours (Å) after each atom.
Sites, in units of the cell vectors:
1 Au 0.0000 0.0000 0.0000  4 Sr 3.13
2 Au 0.5000 0.5000 0.0000  4 Sr 3.13
3 Au 0.3802 0.1198 0.5000  1 Au 2.87, 2 Sr 3.20
4 Au 0.8802 0.3802 0.5000  1 Au 2.87, 2 Sr 3.20
5 Au 0.1198 0.6198 0.5000  1 Au 2.87, 2 Sr 3.20
6 Au 0.6198 0.8802 0.5000  1 Au 2.87, 2 Sr 3.20
7 Sr 0.6753 0.1753 0.0000  8 Au 3.13-3.27
8 Sr 0.1753 0.3247 0.0000  8 Au 3.13-3.27
9 Sr 0.8247 0.6753 0.0000  8 Au 3.13-3.27
10 Sr 0.3247 0.8247 0.0000  8 Au 3.13-3.27

Computed properties:
* SG: P4/mbm (127)
* energy above the most stable polymorph in this dataset: 151 meV per atom

---

Below is an optimized crystal structure of KZrTlTe3, with properties calculated at the PBE-GGA level.

Cell lengths 8.7043, 8.7043, 12.7061 Å; angles 90.00, 90.00, 152.38 degrees
With the nearest neighbours (Å) after each atom.
Sites, in units of the cell vectors:
1 K 0.8291 0.1709 0.2500  4 Te 3.27-3.61
2 K 0.1709 0.8291 0.7500  4 Te 3.27-3.61
3 Te 0.8800 0.1200 0.0018  2 Zr 2.90, 1 Tl 3.22
4 Te 0.5039 0.4961 0.2500  2 Tl 3.09, 2 Zr 3.18
5 Te 0.8800 0.1200 0.4982  2 Zr 2.90, 1 Tl 3.22
6 Te 0.1200 0.8800 0.5018  2 Zr 2.90, 1 Tl 3.22
7 Te 0.4961 0.5039 0.7500  2 Tl 3.09, 2 Zr 3.18
8 Te 0.1200 0.8800 0.9982  2 Zr 2.90, 1 Tl 3.22
9 Tl 0.1395 0.8605 0.2500  4 Te 3.09-3.22
10 Tl 0.8605 0.1395 0.7500  4 Te 3.09-3.22
11 Zr 0.5000 0.5000 0.0000  6 Te 2.90-3.18
12 Zr 0.5000 0.5000 0.5000  6 Te 2.90-3.18

Computed properties:
* SG: Cmcm (63)
* energy above the most stable polymorph in this dataset: 124 meV per atom

---

Below is an optimized crystal structure of Dy2Tm2Al, with properties calculated at the PBE-GGA level.

Cell lengths 6.7394, 6.7394, 6.7394 Å; angles 149.19, 108.00, 80.33 degrees
With the nearest neighbours (Å) after each atom.
Sites, in units of the cell vectors:
1 Al 0.0000 0.0000 0.0000  4 Tm 2.98, 4 Dy 3.12
2 Dy 0.7524 0.2524 0.5000  2 Al 3.12
3 Dy 0.2476 0.7476 0.5000  2 Al 3.12
4 Tm 0.6989 0.5000 0.1989  2 Al 2.98, 1 Tm 3.15
5 Tm 0.3011 0.5000 0.8011  2 Al 2.98, 1 Tm 3.15

Computed properties:
* SG: Immm (71)
* DFT total energy: -22.1 eV/cell

---

Below is an optimized crystal structure of Li4AgGe2Pd, with properties calculated at the PBE-GGA level.

Cell lengths 4.3385, 4.3385, 6.1348 Å; angles 90.00, 90.00, 90.00 degrees
With the nearest neighbours (Å) after each atom.
Sites, in units of the cell vectors:
1 Ag 0.0000 0.0000 0.0000  4 Li 2.67, 4 Ge 2.72
2 Ge 0.5000 0.0000 0.2669  2 Pd 2.60, 4 Li 2.60-2.72, 2 Ag 2.72
3 Ge 0.0000 0.5000 0.7331  4 Li 2.60-2.72, 2 Pd 2.60, 2 Ag 2.72
4 Li 0.5000 0.5000 0.0000  4 Li 2.67, 4 Ge 2.72
5 Li 0.0000 0.5000 0.2542  2 Pd 2.64, 4 Li 2.64-2.67, 2 Ag 2.67, 1 Ge 2.94
6 Li 0.0000 0.0000 0.5000  4 Ge 2.60, 4 Li 2.64
7 Li 0.5000 0.0000 0.7458  2 Pd 2.64, 4 Li 2.64-2.67, 2 Ag 2.67, 1 Ge 2.94
8 Pd 0.5000 0.5000 0.5000  4 Ge 2.60, 4 Li 2.64

Computed properties:
* SG: P-4m2 (115)
* DFT total energy: -28.4 eV/cell

---

Below is an optimized crystal structure of BaBe2Cd, with properties calculated at the PBE-GGA level.

Cell lengths 5.0384, 5.0384, 5.0384 Å; angles 60.00, 60.00, 60.00 degrees
With the nearest neighbours (Å) after each atom.
Sites, in units of the cell vectors:
1 Ba 0.5000 0.5000 0.5000  4 Cd 3.09, 4 Be 3.09
2 Be 0.0000 0.0000 0.0000  4 Be 3.09, 4 Cd 3.09
3 Be 0.7500 0.7500 0.7500  4 Be 3.09, 4 Ba 3.09
4 Cd 0.2500 0.2500 0.2500  4 Ba 3.09, 4 Be 3.09

Computed properties:
* SG: F-43m (216)
* DFT total energy: -7.5 eV/cell

---

Below is an optimized crystal structure of CdIrPt2, with properties calculated at the PBE-GGA level.

Cell lengths 4.5279, 4.5279, 4.5279 Å; angles 60.00, 60.00, 60.00 degrees
With the nearest neighbours (Å) after each atom.
Sites, in units of the cell vectors:
1 Cd 0.5000 0.5000 0.5000  4 Pt 2.77, 4 Ir 2.77
2 Ir 0.2500 0.2500 0.2500  4 Cd 2.77, 4 Pt 2.77
3 Pt 0.0000 0.0000 0.0000  4 Pt 2.77, 4 Ir 2.77
4 Pt 0.7500 0.7500 0.7500  4 Cd 2.77, 4 Pt 2.77

Computed properties:
* SG: F-43m (216)
* energy of formation from the pure elements: 0.195 eV per atom

---

Below is an optimized crystal structure of CdBi2Pd, with properties calculated at the PBE-GGA level.

Cell lengths 5.2173, 5.2173, 5.2173 Å; angles 60.00, 60.00, 60.00 degrees
With the nearest neighbours (Å) after each atom.
Sites, in units of the cell vectors:
1 Bi 0.0000 0.0000 0.0000  4 Bi 3.19, 4 Pd 3.19
2 Bi 0.2500 0.2500 0.2500  4 Cd 3.19, 4 Bi 3.19
3 Cd 0.5000 0.5000 0.5000  4 Bi 3.19, 4 Pd 3.19
4 Pd 0.7500 0.7500 0.7500  4 Cd 3.19, 4 Bi 3.19

Computed properties:
* SG: F-43m (216)
* DFT total energy: -13.9 eV/cell

---

Below is an optimized crystal structure of TlBW2, with properties calculated at the PBE-GGA level.

Cell lengths 3.2119, 3.2119, 14.0575 Å; angles 90.00, 90.00, 120.00 degrees
With the nearest neighbours (Å) after each atom.
Sites, in units of the cell vectors:
1 B 0.0000 0.0000 0.0000  6 W 2.17
2 B 0.0000 0.0000 0.5000  6 W 2.17
3 Tl 0.6667 0.3333 0.2500  6 W 3.02, 6 Tl 3.21
4 Tl 0.3333 0.6667 0.7500  6 W 3.02, 6 Tl 3.21
5 W 0.3333 0.6667 0.0804  3 B 2.17
6 W 0.3333 0.6667 0.4196  3 B 2.17
7 W 0.6667 0.3333 0.5804  3 B 2.17
8 W 0.6667 0.3333 0.9196  3 B 2.17

Computed properties:
* SG: P6_3/mmc (194)
* DFT total energy: -68.0 eV/cell